# 1
GGA-PBE LiAgTePtS2, relaxed; magnetic moment = 0.001 μB/atom; energy = -24.0 eV per formula unit
1.0
2.209 2.961 6.104
-4.722 -0.672 -5.307
-5.126 -7.548 5.517
S Pt Te Ag Li
4 2 2 2 2
direct
0.381 0.619 0.978 S
0.619 0.381 0.022 S
0.619 0.381 0.478 S
0.381 0.619 0.522 S
0.000 0.000 0.000 Pt
0.000 0.000 0.500 Pt
0.940 0.060 0.250 Te
0.060 0.940 0.750 Te
0.371 0.629 0.750 Ag
0.629 0.371 0.250 Ag
0.285 0.715 0.250 Li
0.715 0.285 0.750 Li

---

# 2
GGA-PBE Li4AgSb2Pt, relaxed; magnetic moment = 0.000 μB/atom; energy = -29.2 eV per formula unit
1.0
4.547 0.000 0.000
0.000 4.547 0.000
0.000 0.000 6.453
Pt Sb Li Ag
1 2 4 1
direct
0.500 0.500 0.500 Pt
0.500 0.000 0.739 Sb
0.000 0.500 0.261 Sb
0.000 0.000 0.500 Li
0.500 0.000 0.264 Li
0.000 0.500 0.736 Li
0.500 0.500 0.000 Li
0.000 0.000 0.000 Ag

---

# 3
GGA-PBE LiAg3PtSe4, relaxed; magnetic moment = 0.000 μB/atom; energy = -31.1 eV per formula unit
1.0
6.120 0.000 0.000
0.000 6.120 0.000
0.000 0.000 6.120
Ag Se Pt Li
3 4 1 1
direct
0.500 0.500 0.000 Ag
0.500 0.000 0.500 Ag
0.000 0.500 0.500 Ag
0.743 0.743 0.257 Se
0.743 0.257 0.743 Se
0.257 0.743 0.743 Se
0.257 0.257 0.257 Se
0.500 0.500 0.500 Pt
0.000 0.000 0.000 Li

---

# 4
GGA-PBE LiAgTe2PtSe, relaxed; magnetic moment = 0.002 μB/atom; energy = -22.4 eV per formula unit
1.0
3.805 -0.053 5.371
-3.985 3.762 -3.647
-8.576 -3.227 6.043
Pt Se Li Te Ag
2 2 2 4 2
direct
0.500 0.500 0.500 Pt
0.500 0.500 0.000 Pt
0.450 0.550 0.750 Se
0.550 0.450 0.250 Se
0.813 0.187 0.750 Li
0.187 0.813 0.250 Li
0.140 0.860 0.509 Te
0.860 0.140 0.491 Te
0.140 0.860 0.991 Te
0.860 0.140 0.009 Te
0.105 0.895 0.750 Ag
0.895 0.105 0.250 Ag

---

# 5
GGA-PBE LiAgTePtSe2, relaxed; magnetic moment = 0.002 μB/atom; energy = -22.9 eV per formula unit
1.0
5.493 3.142 3.153
-6.666 0.231 -2.346
-3.516 -3.529 9.643
Pt Se Te Li Ag
2 4 2 2 2
direct
0.000 0.000 0.000 Pt
0.000 0.000 0.500 Pt
0.628 0.372 0.015 Se
0.372 0.628 0.985 Se
0.628 0.372 0.485 Se
0.372 0.628 0.515 Se
0.053 0.947 0.750 Te
0.947 0.053 0.250 Te
0.710 0.290 0.750 Li
0.290 0.710 0.250 Li
0.632 0.368 0.250 Ag
0.368 0.632 0.750 Ag

---

# 6
GGA-PBE Li4AgSn2Pt, relaxed; magnetic moment = 0.001 μB/atom; energy = -28.6 eV per formula unit
1.0
-3.185 -1.416 -2.935
-2.373 -1.805 3.446
-3.156 5.563 0.740
Pt Li Ag Sn
1 4 1 2
direct
0.500 0.500 0.500 Pt
0.000 0.500 0.744 Li
0.500 0.500 0.000 Li
0.000 0.000 0.500 Li
0.500 0.000 0.256 Li
0.000 0.000 0.000 Ag
0.500 0.000 0.735 Sn
0.000 0.500 0.265 Sn

---

# 7
GGA-PBE LiAgTe3Pt, relaxed; magnetic moment = 0.004 μB/atom; energy = -22.0 eV per formula unit
1.0
4.066 0.000 0.000
2.033 6.448 0.000
0.000 0.000 11.239
Te Pt Ag Li
6 2 2 2
direct
0.361 0.277 0.990 Te
0.947 0.105 0.250 Te
0.361 0.277 0.510 Te
0.053 0.895 0.750 Te
0.639 0.723 0.490 Te
0.639 0.723 0.010 Te
0.000 0.000 0.500 Pt
0.000 0.000 0.000 Pt
0.613 0.773 0.250 Ag
0.387 0.227 0.750 Ag
0.285 0.431 0.250 Li
0.715 0.569 0.750 Li

---

# 8
GGA-PBE LiAgPtW, relaxed; magnetic moment = 0.000 μB/atom; energy = -23.1 eV per formula unit
1.0
0.000 3.135 3.135
3.135 0.000 3.135
3.135 3.135 0.000
W Pt Ag Li
1 1 1 1
direct
0.250 0.250 0.250 W
0.500 0.500 0.500 Pt
0.000 0.000 0.000 Ag
0.750 0.750 0.750 Li